Record 1
PBE ScBeTcO2, optimized geometry; calculated volume = 12.3 A^3/atom; M_tot = 0.402 μB per atom; DOS(E_F) = 2.71 states/eV per cell; excess energy over the best structure of this formula in the dataset = 0.334 eV/atom
1.0
3.559 0.000 0.000
0.000 3.559 0.000
0.000 0.000 4.853
Sc Be Tc O
1 1 1 2
Cartesian
0.000 0.000 0.000
0.000 0.000 2.427
1.780 1.780 0.000
0.000 1.780 2.427
1.780 0.000 2.427

***

Record 2
PBE ZrSc2BeO, optimized geometry; energy = -7.0977 eV/atom; calculated volume = 16.3 A^3/atom; M_tot = 0.000 μB per atom; DOS(E_F) = 3.07 states/eV per cell
1.0
4.284 0.000 0.000
0.000 4.284 0.000
0.000 0.000 4.453
Zr Sc Be O
1 2 1 1
Cartesian
0.000 0.000 0.000
0.000 2.142 2.227
2.142 0.000 2.227
2.142 2.142 0.000
0.000 0.000 2.227

***

Record 3
PBE BeSe2O, optimized geometry; calculated volume = 13.3 A^3/atom; M_tot = 0.000 μB per atom; DOS(E_F) = 10.48 states/eV per cell; excess energy over the best structure of this formula in the dataset = 0.640 eV/atom
1.0
5.971 0.000 0.000
0.000 5.971 0.000
0.000 0.000 5.971
Be Se O
4 8 4
Cartesian
0.000 0.000 0.000
0.000 2.986 2.986
2.986 0.000 2.986
2.986 2.986 0.000
1.493 1.493 1.493
1.493 1.493 4.478
1.493 4.478 1.493
1.493 4.478 4.478
4.478 1.493 1.493
4.478 1.493 4.478
4.478 4.478 1.493
4.478 4.478 4.478
0.000 0.000 2.986
0.000 2.986 0.000
2.986 0.000 0.000
2.986 2.986 2.986

***

Record 4
PBE BeSeO2, optimized geometry; calculated volume = 11.5 A^3/atom; M_tot = 0.000 μB per atom; DOS(E_F) = 2.38 states/eV per cell; excess energy over the best structure of this formula in the dataset = 0.744 eV/atom
1.0
2.912 0.000 0.000
-1.456 2.521 0.000
0.000 0.000 18.764
Be Se O
3 3 6
Cartesian
0.000 0.000 0.000
0.000 1.681 12.509
1.456 0.840 6.255
0.000 0.000 9.382
0.000 1.681 3.127
1.456 0.840 15.637
0.000 0.000 1.441
0.000 0.000 17.323
0.000 1.681 11.068
0.000 1.681 13.951
1.456 0.840 4.813
1.456 0.840 7.696

***

Record 5
PBE Be3SeO, optimized geometry; calculated volume = 10.6 A^3/atom; M_tot = 0.000 μB per atom; DOS(E_F) = 1.73 states/eV per cell; excess energy over the best structure of this formula in the dataset = 0.000 eV/atom
1.0
3.755 0.000 0.000
0.000 3.755 0.000
0.000 0.000 3.755
Be Se O
3 1 1
Cartesian
0.000 0.000 1.878
0.000 1.878 0.000
1.878 0.000 0.000
1.878 1.878 1.878
0.000 0.000 0.000

***

Record 6
PBE BeSe2O6, optimized geometry; energy = -5.4482 eV/atom; calculated volume = 17.8 A^3/atom; M_tot = 0.000 μB per atom; DOS(E_F) = 3.12 states/eV per cell
1.0
5.574 -5.220 0.000
5.574 5.220 0.000
-4.151 0.000 5.495
Be Se O
2 4 12
Cartesian
2.461 2.811 4.121
4.536 -2.811 1.374
0.304 0.741 3.456
2.380 -0.741 0.708
4.617 0.741 4.787
6.693 -0.741 2.039
2.458 3.753 2.771
1.092 1.946 4.344
2.464 3.753 5.472
1.769 0.378 1.837
-0.307 -0.378 4.584
3.829 1.946 3.899
3.168 -1.946 1.596
7.304 0.378 0.911
5.228 -0.378 3.659
4.533 -3.753 0.023
5.905 -1.946 1.151
4.539 -3.753 2.725

***

Record 7
PBE BeSe3O, optimized geometry; calculated volume = 17.5 A^3/atom; M_tot = 0.000 μB per atom; DOS(E_F) = 3.04 states/eV per cell; excess energy over the best structure of this formula in the dataset = 0.000 eV/atom
1.0
4.441 0.000 0.000
0.000 4.441 0.000
0.000 0.000 4.441
Be Se O
1 3 1
Cartesian
0.000 0.000 0.000
0.000 2.221 2.221
2.221 0.000 2.221
2.221 2.221 0.000
2.221 2.221 2.221

***

Record 8
PBE Be3SeO, optimized geometry; calculated volume = 15.0 A^3/atom; M_tot = 0.112 μB per atom; DOS(E_F) = 3.35 states/eV per cell; excess energy over the best structure of this formula in the dataset = 1.268 eV/atom
1.0
4.215 0.000 0.000
0.000 4.215 0.000
0.000 0.000 4.215
Be Se O
3 1 1
Cartesian
0.000 0.000 2.107
0.000 2.107 0.000
2.107 0.000 0.000
0.000 0.000 0.000
2.107 2.107 2.107